The following is a GGA+U calculation of a relaxed MgNiO2 crystal, from Alexandria via LeMat-Bulk.

POSCAR file:
```
MgNiO2
1.0
2.9360 0.0000 0.0000
1.4596 8.0055 0.0000
1.4647 -0.1848 8.0150
Mg Ni O
4 4 8
Direct
0.0803 0.1099 0.2264
0.3315 0.2457 0.5887
0.6685 0.7543 0.4113
0.9197 0.8901 0.7736
0.1785 0.2314 0.9076
0.4055 0.4153 0.2719
0.5945 0.5847 0.7281
0.8215 0.7686 0.0924
0.0939 0.7291 0.5863
0.1525 0.4298 0.7656
0.1854 0.8720 0.2606
0.4038 0.7884 0.9070
0.5962 0.2116 0.0930
0.8146 0.1280 0.7394
0.8475 0.5702 0.2344
0.9061 0.2709 0.4137
```

## Properties
**Spin magnetization**: 0.500 μB/atom
**Space group**: No. 2
**E_tot**: -83.0 eV for the cell shown